Entry from Alexandria via LeMat-Bulk: a relaxed ScSe2SBr crystal (PBE-GGA).

Computed properties:
Raw total energy   -3.9231 eV/atom
ρ   3.70 Mg/m³

CIF file:
```
data_ScSe2SBr
_chemical_formula_sum 'Sc1 Se2 S1 Br1'
_symmetry_space_group_name_H-M 'P 4/m m m'
_symmetry_Int_Tables_number 123
_symmetry_space_group_name_Hall '-P 4 2'
_cell_length_a 5.237
_cell_length_b 5.237
_cell_length_c 5.152
_cell_angle_alpha 90.00
_cell_angle_beta 90.00
_cell_angle_gamma 90.00
loop_
_atom_site_label
_atom_site_fract_x
_atom_site_fract_y
_atom_site_fract_z
Sc1 0.000 0.000 0.000
Se1 0.000 0.500 0.000
S1 0.500 0.500 0.500
Br1 0.000 0.000 0.500
```

---

Entry from Alexandria via LeMat-Bulk: a relaxed Hf4As3P crystal (PBE-GGA).

Computed properties:
Energy of formation   -8.1 eV per formula unit
Raw total energy   -8.4092 eV/atom
ρ   10.35 Mg/m³

CIF file:
```
data_Hf4As3P
_chemical_formula_sum 'Hf12 As9 P3'
_symmetry_space_group_name_H-M 'R -3 m'
_symmetry_Int_Tables_number 166
_symmetry_space_group_name_Hall '-R 3 2"'
_cell_length_a 3.7910
_cell_length_b 3.7910
_cell_length_c 37.4999
_cell_angle_alpha 90.00
_cell_angle_beta 90.00
_cell_angle_gamma 120.00
loop_
_atom_site_label
_atom_site_fract_x
_atom_site_fract_y
_atom_site_fract_z
Hf1 0.0000 0.0000 0.1260
Hf2 0.0000 0.0000 0.3699
As1 0.0000 0.0000 0.2514
As2 0.0000 0.0000 0.5000
P1 0.0000 0.0000 0.0000
```

---

Entry from Alexandria via LeMat-Bulk: a relaxed SiNi14P crystal (PBE-GGA).

Computed properties:
Raw total energy   -5.8892 eV/atom
ρ   8.48 Mg/m³

CIF file:
```
data_SiNi14P
_chemical_formula_sum 'Si1 Ni14 P1'
_symmetry_space_group_name_H-M 'P 4/m m m'
_symmetry_Int_Tables_number 123
_symmetry_space_group_name_Hall '-P 4 2'
_cell_length_a 4.998
_cell_length_b 4.998
_cell_length_c 6.906
_cell_angle_alpha 90.00
_cell_angle_beta 90.00
_cell_angle_gamma 90.00
loop_
_atom_site_label
_atom_site_fract_x
_atom_site_fract_y
_atom_site_fract_z
Si1 0.000 0.000 0.000
Ni1 0.000 0.000 0.500
Ni2 0.000 0.500 0.000
Ni3 0.000 0.500 0.500
Ni4 0.251 0.251 0.245
Ni5 0.500 0.500 0.500
P1 0.500 0.500 0.000
```